*i*
5
Lattice="-1.684 1.688 5.072 4.104 -2.998 2.361 3.424 4.424 -0.335" Properties=species:S:1:pos:R:3 comment="PBE Na3VFe, relaxed" dos_ef_per_ev_atom=3.418 mass_density_g_cm3=1.66 magnetic_moment_mub_per_atom=1.63 space_group="No. 221" pbc="T T T"
Na 2.052 -1.499 1.180
Na 1.712 2.212 -0.167
Na -0.842 0.844 2.536
Fe 2.922 1.557 3.549
V 0.000 0.000 0.000

---

*ii*
5
Lattice="-1.509 -4.303 2.875 -2.627 -1.943 -4.288 4.459 -2.601 -1.553" Properties=species:S:1:pos:R:3 comment="PBE Na3VFe, relaxed" dos_ef_per_ev_atom=3.302 mass_density_g_cm3=1.86 magnetic_moment_mub_per_atom=1.42 space_group="No. 221" pbc="T T T"
Na -1.313 -0.972 -2.144
Na 2.230 -1.300 -0.776
Na -0.754 -2.152 1.437
Fe 0.000 0.000 0.000
V 0.162 -4.424 -1.483

---

Sorted by energy, starting with the most stable: *ii*, *i*.